Density functional theory data (PBE-GGA) for a relaxed structure of Pr2Tm2Th.

VASP energy = -4.75 eV per atom
Calculated formation energy = 0.43 eV per atom
Crystal system = tetragonal
Total moment = 0.000 μB/cell
Excess energy over the best structure of this formula in the dataset = 0.4111 eV per atom

Structure (CIF):
```
data_Pr2Tm2Th
_cell_length_a 4.6038
_cell_length_b 4.6038
_cell_length_c 8.7740
_cell_angle_alpha 105.21
_cell_angle_beta 105.21
_cell_angle_gamma 90.00
_symmetry_space_group_name_H-M 'P 1'
_symmetry_Int_Tables_number 1
loop_
_symmetry_equiv_pos_as_xyz
'x,y,z'
loop_
_atom_site_label
_atom_site_type_symbol
_atom_site_fract_x
_atom_site_fract_y
_atom_site_fract_z
_atom_site_occupancy
Pr1 Pr 0.7500 0.2500 0.5000 1
Pr2 Pr 0.2500 0.7500 0.5000 1
Tm1 Tm 0.4071 0.4071 0.8143 1
Tm2 Tm 0.5929 0.5929 0.1857 1
Th1 Th 0.0000 0.0000 0.0000 1
```


Density functional theory data (PBE-GGA) for a relaxed structure of Pr7Tm2Th2.

VASP energy = -5.03 eV per atom
Calculated formation energy = 0.17 eV per atom
Crystal system = monoclinic
Total moment = 0.000 μB/cell
Excess energy over the best structure of this formula in the dataset = 0.0000 eV per atom

Structure (CIF):
```
data_Pr7Tm2Th2
_cell_length_a 6.1725
_cell_length_b 8.1678
_cell_length_c 8.1678
_cell_angle_alpha 89.84
_cell_angle_beta 74.69
_cell_angle_gamma 74.69
_symmetry_space_group_name_H-M 'P 1'
_symmetry_Int_Tables_number 1
loop_
_symmetry_equiv_pos_as_xyz
'x,y,z'
loop_
_atom_site_label
_atom_site_type_symbol
_atom_site_fract_x
_atom_site_fract_y
_atom_site_fract_z
_atom_site_occupancy
Pr1 Pr 0.1742 0.0504 0.5867 1
Pr2 Pr 0.8258 0.4133 0.9496 1
Pr3 Pr 0.8258 0.9496 0.4133 1
Pr4 Pr 0.1742 0.5867 0.0504 1
Pr5 Pr 0.0000 0.0000 0.0000 1
Pr6 Pr 0.5962 0.7710 0.7710 1
Pr7 Pr 0.4038 0.2290 0.2290 1
Tm1 Tm 0.5000 0.2252 0.7748 1
Tm2 Tm 0.5000 0.7748 0.2252 1
Th1 Th 0.8008 0.4302 0.4302 1
Th2 Th 0.1992 0.5698 0.5698 1
```


Density functional theory data (PBE-GGA) for a relaxed structure of Pr5Tm2Th2.

VASP energy = -5.25 eV per atom
Calculated formation energy = 0.05 eV per atom
Crystal system = triclinic
Total moment = 0.000 μB/cell

Structure (CIF):
```
data_Pr5Tm2Th2
_cell_length_a 6.3375
_cell_length_b 9.5952
_cell_length_c 8.9078
_cell_angle_alpha 127.97
_cell_angle_beta 118.54
_cell_angle_gamma 96.18
_symmetry_space_group_name_H-M 'P 1'
_symmetry_Int_Tables_number 1
loop_
_symmetry_equiv_pos_as_xyz
'x,y,z'
loop_
_atom_site_label
_atom_site_type_symbol
_atom_site_fract_x
_atom_site_fract_y
_atom_site_fract_z
_atom_site_occupancy
Pr1 Pr 0.5567 0.8910 0.1195 1
Pr2 Pr 0.4433 0.1090 0.8805 1
Pr3 Pr 0.3372 0.3326 0.6653 1
Pr4 Pr 0.6628 0.6674 0.3347 1
Pr5 Pr 0.0000 0.0000 0.0000 1
Tm1 Tm 0.2192 0.5538 0.4369 1
Tm2 Tm 0.7808 0.4462 0.5631 1
Th1 Th 0.8800 0.2283 0.7773 1
Th2 Th 0.1200 0.7717 0.2227 1
```


Density functional theory data (PBE-GGA) for a relaxed structure of PrTmTh2.

VASP energy = -5.84 eV per atom
Calculated formation energy = 0.18 eV per atom
Crystal system = trigonal
Total moment = 0.000 μB/cell
Excess energy over the best structure of this formula in the dataset = 0.1526 eV per atom

Structure (CIF):
```
data_PrTmTh2
_cell_length_a 3.4998
_cell_length_b 3.4998
_cell_length_c 12.6206
_cell_angle_alpha 82.03
_cell_angle_beta 82.03
_cell_angle_gamma 60.00
_symmetry_space_group_name_H-M 'P 1'
_symmetry_Int_Tables_number 1
loop_
_symmetry_equiv_pos_as_xyz
'x,y,z'
loop_
_atom_site_label
_atom_site_type_symbol
_atom_site_fract_x
_atom_site_fract_y
_atom_site_fract_z
_atom_site_occupancy
Pr1 Pr 0.0000 0.0000 0.0000 1
Tm1 Tm 0.5000 0.5000 0.5000 1
Th1 Th 0.0890 0.0890 0.7329 1
Th2 Th 0.9110 0.9110 0.2671 1
```


Density functional theory data (PBE-GGA) for a relaxed structure of Pr12Tm3Th.

VASP energy = -4.86 eV per atom
Calculated formation energy = 0.03 eV per atom
Crystal system = tetragonal
Total moment = 0.000 μB/cell

Structure (CIF):
```
data_Pr12Tm3Th
_cell_length_a 5.1830
_cell_length_b 5.1830
_cell_length_c 20.7015
_cell_angle_alpha 90.00
_cell_angle_beta 90.00
_cell_angle_gamma 90.00
_symmetry_space_group_name_H-M 'P 1'
_symmetry_Int_Tables_number 1
loop_
_symmetry_equiv_pos_as_xyz
'x,y,z'
loop_
_atom_site_label
_atom_site_type_symbol
_atom_site_fract_x
_atom_site_fract_y
_atom_site_fract_z
_atom_site_occupancy
Pr1 Pr 0.5000 0.5000 0.0000 1
Pr2 Pr 0.5000 0.5000 0.2530 1
Pr3 Pr 0.5000 0.5000 0.5000 1
Pr4 Pr 0.5000 0.5000 0.7470 1
Pr5 Pr 0.5000 0.0000 0.1242 1
Pr6 Pr 0.5000 0.0000 0.3752 1
Pr7 Pr 0.5000 0.0000 0.6248 1
Pr8 Pr 0.5000 0.0000 0.8758 1
Pr9 Pr 0.0000 0.5000 0.1242 1
Pr10 Pr 0.0000 0.5000 0.3752 1
Pr11 Pr 0.0000 0.5000 0.6248 1
Pr12 Pr 0.0000 0.5000 0.8758 1
Tm1 Tm 0.0000 0.0000 0.2512 1
Tm2 Tm 0.0000 0.0000 0.5000 1
Tm3 Tm 0.0000 0.0000 0.7488 1
Th1 Th 0.0000 0.0000 0.0000 1
```


Density functional theory data (PBE-GGA) for a relaxed structure of Pr3Tm6Th.

VASP energy = -4.74 eV per atom
Calculated formation energy = 0.12 eV per atom
Crystal system = monoclinic
Total moment = 0.000 μB/cell
Excess energy over the best structure of this formula in the dataset = 0.0000 eV per atom

Structure (CIF):
```
data_Pr3Tm6Th
_cell_length_a 3.4836
_cell_length_b 12.0670
_cell_length_c 17.4380
_cell_angle_alpha 117.33
_cell_angle_beta 90.00
_cell_angle_gamma 90.00
_symmetry_space_group_name_H-M 'P 1'
_symmetry_Int_Tables_number 1
loop_
_symmetry_equiv_pos_as_xyz
'x,y,z'
loop_
_atom_site_label
_atom_site_type_symbol
_atom_site_fract_x
_atom_site_fract_y
_atom_site_fract_z
_atom_site_occupancy
Pr1 Pr 0.7500 0.4736 0.8348 1
Pr2 Pr 0.2500 0.5264 0.1652 1
Pr3 Pr 0.7500 0.6512 0.5217 1
Pr4 Pr 0.2500 0.3488 0.4783 1
Pr5 Pr 0.7500 0.2426 0.1266 1
Pr6 Pr 0.2500 0.7574 0.8734 1
Tm1 Tm 0.7500 0.5358 0.6694 1
Tm2 Tm 0.2500 0.4642 0.3306 1
Tm3 Tm 0.7500 0.9285 0.0851 1
Tm4 Tm 0.2500 0.0715 0.9149 1
Tm5 Tm 0.7500 0.3515 0.9751 1
Tm6 Tm 0.2500 0.6485 0.0249 1
Tm7 Tm 0.7500 0.7409 0.3641 1
Tm8 Tm 0.2500 0.2591 0.6359 1
Tm9 Tm 0.7500 0.0616 0.4327 1
Tm10 Tm 0.2500 0.9384 0.5673 1
Tm11 Tm 0.7500 0.8582 0.7333 1
Tm12 Tm 0.2500 0.1418 0.2667 1
Th1 Th 0.7500 0.1460 0.7607 1
Th2 Th 0.2500 0.8540 0.2393 1
```


Density functional theory data (PBE-GGA) for a relaxed structure of Pr2Tm8Th.

VASP energy = -4.61 eV per atom
Calculated formation energy = 0.18 eV per atom
Crystal system = monoclinic
Total moment = 0.000 μB/cell
Excess energy over the best structure of this formula in the dataset = 0.1517 eV per atom

Structure (CIF):
```
data_Pr2Tm8Th
_cell_length_a 5.7749
_cell_length_b 8.9018
_cell_length_c 9.0873
_cell_angle_alpha 60.67
_cell_angle_beta 75.86
_cell_angle_gamma 60.09
_symmetry_space_group_name_H-M 'P 1'
_symmetry_Int_Tables_number 1
loop_
_symmetry_equiv_pos_as_xyz
'x,y,z'
loop_
_atom_site_label
_atom_site_type_symbol
_atom_site_fract_x
_atom_site_fract_y
_atom_site_fract_z
_atom_site_occupancy
Pr1 Pr 0.0000 0.3056 0.3888 1
Pr2 Pr 0.0000 0.6944 0.6112 1
Tm1 Tm 0.8345 0.0962 0.2248 1
Tm2 Tm 0.8345 0.3210 0.7752 1
Tm3 Tm 0.2971 0.4239 0.0000 1
Tm4 Tm 0.5000 0.7887 0.4226 1
Tm5 Tm 0.5000 0.2113 0.5774 1
Tm6 Tm 0.7029 0.5761 0.0000 1
Tm7 Tm 0.1655 0.6790 0.2248 1
Tm8 Tm 0.1655 0.9038 0.7752 1
Th1 Th 0.5000 0.0000 0.0000 1
```


Density functional theory data (PBE-GGA) for a relaxed structure of Pr8Tm4Th.

VASP energy = -4.66 eV per atom
Calculated formation energy = 0.22 eV per atom
Crystal system = trigonal
Total moment = 0.000 μB/cell

Structure (CIF):
```
data_Pr8Tm4Th
_cell_length_a 7.3508
_cell_length_b 7.3508
_cell_length_c 10.5833
_cell_angle_alpha 90.00
_cell_angle_beta 110.32
_cell_angle_gamma 120.00
_symmetry_space_group_name_H-M 'P 1'
_symmetry_Int_Tables_number 1
loop_
_symmetry_equiv_pos_as_xyz
'x,y,z'
loop_
_atom_site_label
_atom_site_type_symbol
_atom_site_fract_x
_atom_site_fract_y
_atom_site_fract_z
_atom_site_occupancy
Pr1 Pr 0.5739 0.7869 0.3608 1
Pr2 Pr 0.4261 0.2131 0.6392 1
Pr3 Pr 0.4929 0.2465 0.2873 1
Pr4 Pr 0.9591 0.2056 0.7127 1
Pr5 Pr 0.5071 0.7535 0.7127 1
Pr6 Pr 0.9591 0.7535 0.7127 1
Pr7 Pr 0.0409 0.2465 0.2873 1
Pr8 Pr 0.0409 0.7944 0.2873 1
Tm1 Tm 0.0000 0.0000 0.0000 1
Tm2 Tm 0.0000 0.5000 0.0000 1
Tm3 Tm 0.5000 0.5000 0.0000 1
Tm4 Tm 0.5000 0.0000 0.0000 1
Th1 Th 0.0000 0.5000 0.5000 1
```


Density functional theory data (PBE-GGA) for a relaxed structure of PrTm6Th2.

VASP energy = -4.60 eV per atom
Calculated formation energy = 0.56 eV per atom
Crystal system = trigonal
Total moment = 0.000 μB/cell
Excess energy over the best structure of this formula in the dataset = 0.4219 eV per atom

Structure (CIF):
```
data_PrTm6Th2
_cell_length_a 9.2890
_cell_length_b 6.2056
_cell_length_c 6.2056
_cell_angle_alpha 120.00
_cell_angle_beta 90.00
_cell_angle_gamma 90.00
_symmetry_space_group_name_H-M 'P 1'
_symmetry_Int_Tables_number 1
loop_
_symmetry_equiv_pos_as_xyz
'x,y,z'
loop_
_atom_site_label
_atom_site_type_symbol
_atom_site_fract_x
_atom_site_fract_y
_atom_site_fract_z
_atom_site_occupancy
Pr1 Pr 0.0000 0.0000 0.0000 1
Tm1 Tm 0.2018 0.0000 0.3708 1
Tm2 Tm 0.2018 0.6292 0.6292 1
Tm3 Tm 0.7982 0.0000 0.6292 1
Tm4 Tm 0.7982 0.6292 0.0000 1
Tm5 Tm 0.7982 0.3708 0.3708 1
Tm6 Tm 0.2018 0.3708 0.0000 1
Th1 Th 0.5000 0.6667 0.3333 1
Th2 Th 0.5000 0.3333 0.6667 1
```


Density functional theory data (PBE-GGA) for a relaxed structure of Pr6Tm4Th.

VASP energy = -4.77 eV per atom
Calculated formation energy = 0.14 eV per atom
Crystal system = orthorhombic
Total moment = 0.001 μB/cell

Structure (CIF):
```
data_Pr6Tm4Th
_cell_length_a 5.8814
_cell_length_b 5.6936
_cell_length_c 26.0323
_cell_angle_alpha 90.00
_cell_angle_beta 90.00
_cell_angle_gamma 121.10
_symmetry_space_group_name_H-M 'P 1'
_symmetry_Int_Tables_number 1
loop_
_symmetry_equiv_pos_as_xyz
'x,y,z'
loop_
_atom_site_label
_atom_site_type_symbol
_atom_site_fract_x
_atom_site_fract_y
_atom_site_fract_z
_atom_site_occupancy
Pr1 Pr 0.5000 0.0000 0.0000 1
Pr2 Pr 0.5000 0.0000 0.5000 1
Pr3 Pr 0.1247 0.2494 0.3194 1
Pr4 Pr 0.8753 0.7506 0.6806 1
Pr5 Pr 0.8753 0.7506 0.8194 1
Pr6 Pr 0.1247 0.2494 0.1806 1
Pr7 Pr 0.8039 0.6079 0.4017 1
Pr8 Pr 0.1961 0.3921 0.5983 1
Pr9 Pr 0.1961 0.3921 0.9017 1
Pr10 Pr 0.8039 0.6079 0.0983 1
Pr11 Pr 0.4508 0.9016 0.2500 1
Pr12 Pr 0.5492 0.0984 0.7500 1
Tm1 Tm 0.8462 0.6925 0.5433 1
Tm2 Tm 0.4605 0.9209 0.1245 1
Tm3 Tm 0.1538 0.3075 0.4567 1
Tm4 Tm 0.5395 0.0791 0.8755 1
Tm5 Tm 0.8462 0.6925 0.9567 1
Tm6 Tm 0.1538 0.3075 0.0433 1
Tm7 Tm 0.5395 0.0791 0.6245 1
Tm8 Tm 0.4605 0.9209 0.3755 1
Th1 Th 0.7922 0.5844 0.2500 1
Th2 Th 0.2078 0.4156 0.7500 1
```